No. 1
DFT (PBE) results for a relaxed structure of HfZrReRu.

The structure in CIF format:
```
data_HfZrReRu
_chemical_formula_sum 'Hf1 Zr1 Re1 Ru1'
_cell_length_a 3.269
_cell_length_b 3.269
_cell_length_c 6.578
_cell_angle_alpha 90.00
_cell_angle_beta 90.00
_cell_angle_gamma 90.00
_symmetry_space_group_name_H-M 'P 4 m m'
_symmetry_Int_Tables_number 99
loop_
_symmetry_equiv_pos_as_xyz
'x,y,z'
'-y,x,z'
'-x,-y,z'
'y,-x,z'
'-x,y,z'
'y,x,z'
'x,-y,z'
'-y,-x,z'
loop_
_atom_site_label
_atom_site_fract_x
_atom_site_fract_y
_atom_site_fract_z
Hf1 0.000 0.000 0.000
Zr1 0.000 0.000 0.500
Re1 0.500 0.500 0.248
Ru1 0.500 0.500 0.754
```

Output
Density of states at the Fermi level = 3.84 states/eV per cell
Raw total energy = -10.56 eV/atom
ρ = 13.2 Mg/m³

---

No. 2
DFT (PBE) results for a relaxed structure of Hf6ReS.

The structure in CIF format:
```
data_Hf6ReS
_chemical_formula_sum 'Hf6 Re1 S1'
_cell_length_a 5.141
_cell_length_b 5.878
_cell_length_c 5.934
_cell_angle_alpha 97.32
_cell_angle_beta 90.39
_cell_angle_gamma 112.14
_symmetry_space_group_name_H-M 'P -1'
_symmetry_Int_Tables_number 2
loop_
_symmetry_equiv_pos_as_xyz
'x,y,z'
'-x,-y,-z'
loop_
_atom_site_label
_atom_site_fract_x
_atom_site_fract_y
_atom_site_fract_z
Hf1 0.068 0.228 0.135
Hf2 0.253 0.507 0.641
Hf3 0.426 0.870 0.231
Re1 0.000 0.000 0.500
S1 0.500 0.500 0.000
```

Output
Density of states at the Fermi level = 4.69 states/eV per cell
Raw total energy = -9.90 eV/atom
ρ = 13.0 Mg/m³
Formation energy from raw total energies = -0.359 eV/atom

---

No. 3
DFT (PBE) results for a relaxed structure of Hf2ReS.

The structure in CIF format:
```
data_Hf2ReS
_chemical_formula_sum 'Hf8 Re4 S4'
_cell_length_a 5.830
_cell_length_b 5.830
_cell_length_c 11.983
_cell_angle_alpha 90.00
_cell_angle_beta 90.00
_cell_angle_gamma 90.00
_symmetry_space_group_name_H-M 'I -4 2 d'
_symmetry_Int_Tables_number 122
_symmetry_space_group_name_Hall 'I -4 2bw'
loop_
_atom_site_label
_atom_site_fract_x
_atom_site_fract_y
_atom_site_fract_z
Hf1 0.249 0.250 0.125
Re1 0.000 0.000 0.500
S1 0.000 0.000 0.000
```

Output
Density of states at the Fermi level = 8.61 states/eV per cell
Raw total energy = -8.80 eV/atom
ρ = 9.4 Mg/m³
Formation energy from raw total energies = 0.324 eV/atom

---

No. 4
DFT (PBE) results for a relaxed structure of Hf8ReS2.

The structure in CIF format:
```
data_Hf8ReS2
_chemical_formula_sum 'Hf16 Re2 S4'
_cell_length_a 11.242
_cell_length_b 8.954
_cell_length_c 4.897
_cell_angle_alpha 90.00
_cell_angle_beta 90.68
_cell_angle_gamma 90.00
_symmetry_space_group_name_H-M 'C 1 2/m 1'
_symmetry_Int_Tables_number 12
loop_
_symmetry_equiv_pos_as_xyz
'x,y,z'
'-x,-y,-z'
'-x,y,-z'
'x,-y,z'
'x+1/2,y+1/2,z'
'-x+1/2,-y+1/2,-z'
'-x+1/2,y+1/2,-z'
'x+1/2,-y+1/2,z'
loop_
_atom_site_label
_atom_site_fract_x
_atom_site_fract_y
_atom_site_fract_z
Hf1 0.093 0.000 0.261
Hf2 0.096 0.242 0.752
Hf3 0.207 0.500 0.259
Re1 0.000 0.500 0.500
S1 0.178 0.500 0.767
```

Output
Density of states at the Fermi level = 17.46 states/eV per cell
Raw total energy = -9.22 eV/atom
ρ = 11.3 Mg/m³
Formation energy from raw total energies = -0.100 eV/atom

---

No. 5
DFT (PBE) results for a relaxed structure of Hf2ReS.

The structure in CIF format:
```
data_Hf2ReS
_chemical_formula_sum 'Hf6 Re3 S3'
_cell_length_a 3.0864
_cell_length_b 3.0864
_cell_length_c 26.9794
_cell_angle_alpha 90.00
_cell_angle_beta 90.00
_cell_angle_gamma 120.00
_symmetry_space_group_name_H-M 'R -3 m'
_symmetry_Int_Tables_number 166
_symmetry_space_group_name_Hall '-R 3 2"'
loop_
_atom_site_label
_atom_site_fract_x
_atom_site_fract_y
_atom_site_fract_z
Hf1 0.0000 0.0000 0.0961
Re1 0.0000 0.0000 0.0000
S1 0.0000 0.0000 0.5000
```

Output
Density of states at the Fermi level = 10.24 states/eV per cell
Raw total energy = -9.09 eV/atom
ρ = 12.9 Mg/m³
Formation energy from raw total energies = 0.034 eV/atom

---

No. 6
DFT (PBE) results for a relaxed structure of HfReS3.

The structure in CIF format:
```
data_HfReS3
_chemical_formula_sum 'Hf1 Re1 S3'
_cell_length_a 4.592
_cell_length_b 4.592
_cell_length_c 4.592
_cell_angle_alpha 90.00
_cell_angle_beta 90.00
_cell_angle_gamma 90.00
_symmetry_space_group_name_H-M 'P m -3 m'
_symmetry_Int_Tables_number 221
_symmetry_space_group_name_Hall '-P 4 2 3'
loop_
_atom_site_label
_atom_site_fract_x
_atom_site_fract_y
_atom_site_fract_z
Hf1 0.000 0.000 0.000
Re1 0.500 0.500 0.500
S1 0.000 0.500 0.500
```

Output
Density of states at the Fermi level = 4.76 states/eV per cell
Raw total energy = -6.62 eV/atom
ρ = 7.9 Mg/m³
Formation energy from raw total energies = 0.339 eV/atom

---

No. 7
DFT (PBE) results for a relaxed structure of HfRe3S.

The structure in CIF format:
```
data_HfRe3S
_chemical_formula_sum 'Hf1 Re3 S1'
_cell_length_a 4.380
_cell_length_b 4.380
_cell_length_c 4.380
_cell_angle_alpha 90.00
_cell_angle_beta 90.00
_cell_angle_gamma 90.00
_symmetry_space_group_name_H-M 'P m -3 m'
_symmetry_Int_Tables_number 221
_symmetry_space_group_name_Hall '-P 4 2 3'
loop_
_atom_site_label
_atom_site_fract_x
_atom_site_fract_y
_atom_site_fract_z
Hf1 0.000 0.000 0.000
Re1 0.000 0.500 0.500
S1 0.500 0.500 0.500
```

Output
Density of states at the Fermi level = 3.63 states/eV per cell
Raw total energy = -9.82 eV/atom
ρ = 15.2 Mg/m³
Formation energy from raw total energies = 0.461 eV/atom

---

No. 8
DFT (PBE) results for a relaxed structure of HfRe3S.

The structure in CIF format:
```
data_HfRe3S
_chemical_formula_sum 'Hf1 Re3 S1'
_cell_length_a 4.828
_cell_length_b 4.828
_cell_length_c 4.828
_cell_angle_alpha 90.00
_cell_angle_beta 90.00
_cell_angle_gamma 90.00
_symmetry_space_group_name_H-M 'P m -3 m'
_symmetry_Int_Tables_number 221
_symmetry_space_group_name_Hall '-P 4 2 3'
loop_
_atom_site_label
_atom_site_fract_x
_atom_site_fract_y
_atom_site_fract_z
Hf1 0.000 0.000 0.000
Re1 0.000 0.000 0.500
S1 0.500 0.500 0.500
```

Output
Density of states at the Fermi level = 7.45 states/eV per cell
Raw total energy = -7.36 eV/atom
ρ = 11.3 Mg/m³
Formation energy from raw total energies = 2.923 eV/atom

---

No. 9
DFT (PBE) results for a relaxed structure of Hf6Re2S.

The structure in CIF format:
```
data_Hf6Re2S
_chemical_formula_sum 'Hf12 Re4 S2'
_cell_length_a 5.900
_cell_length_b 6.734
_cell_length_c 10.742
_cell_angle_alpha 90.00
_cell_angle_beta 120.99
_cell_angle_gamma 90.00
_symmetry_space_group_name_H-M 'P 1 21/c 1'
_symmetry_Int_Tables_number 14
loop_
_symmetry_equiv_pos_as_xyz
'x,y,z'
'-x,-y,-z'
'-x,y+1/2,-z+1/2'
'x,-y+1/2,z+1/2'
loop_
_atom_site_label
_atom_site_fract_x
_atom_site_fract_y
_atom_site_fract_z
Hf1 0.088 0.190 0.441
Hf2 0.278 0.659 0.441
Hf3 0.382 0.034 0.242
Re1 0.171 0.117 0.736
S1 0.500 0.000 0.500
```

Output
Density of states at the Fermi level = 16.44 states/eV per cell
Raw total energy = -10.17 eV/atom
ρ = 13.4 Mg/m³
Formation energy from raw total energies = -0.306 eV/atom

---

No. 10
DFT (PBE) results for a relaxed structure of HfReS3.

The structure in CIF format:
```
data_HfReS3
_chemical_formula_sum 'Hf1 Re1 S3'
_cell_length_a 4.905
_cell_length_b 4.905
_cell_length_c 4.905
_cell_angle_alpha 90.00
_cell_angle_beta 90.00
_cell_angle_gamma 90.00
_symmetry_space_group_name_H-M 'P m -3 m'
_symmetry_Int_Tables_number 221
_symmetry_space_group_name_Hall '-P 4 2 3'
loop_
_atom_site_label
_atom_site_fract_x
_atom_site_fract_y
_atom_site_fract_z
Hf1 0.000 0.000 0.000
Re1 0.500 0.500 0.500
S1 0.000 0.000 0.500
```

Output
Density of states at the Fermi level = 2.60 states/eV per cell
Raw total energy = -6.48 eV/atom
ρ = 6.5 Mg/m³
Formation energy from raw total energies = 0.475 eV/atom

---

No. 11
DFT (PBE) results for a relaxed structure of Hf4ReS.

The structure in CIF format:
```
data_Hf4ReS
_chemical_formula_sum 'Hf8 Re2 S2'
_cell_length_a 12.839
_cell_length_b 3.302
_cell_length_c 6.548
_cell_angle_alpha 90.00
_cell_angle_beta 115.85
_cell_angle_gamma 90.00
_symmetry_space_group_name_H-M 'C 1 2/m 1'
_symmetry_Int_Tables_number 12
loop_
_symmetry_equiv_pos_as_xyz
'x,y,z'
'-x,-y,-z'
'-x,y,-z'
'x,-y,z'
'x+1/2,y+1/2,z'
'-x+1/2,-y+1/2,-z'
'-x+1/2,y+1/2,-z'
'x+1/2,-y+1/2,z'
loop_
_atom_site_label
_atom_site_fract_x
_atom_site_fract_y
_atom_site_fract_z
Hf1 0.140 0.000 0.320
Hf2 0.143 0.500 0.823
Re1 0.000 0.000 0.500
S1 0.000 0.500 0.000
```

Output
Density of states at the Fermi level = 10.97 states/eV per cell
Raw total energy = -9.62 eV/atom
ρ = 12.4 Mg/m³
Formation energy from raw total energies = -0.222 eV/atom

---

No. 12
DFT (PBE) results for a relaxed structure of HfTaReS2.

The structure in CIF format:
```
data_HfTaReS2
_chemical_formula_sum 'Hf1 Ta1 Re1 S2'
_cell_length_a 4.589
_cell_length_b 4.589
_cell_length_c 5.606
_cell_angle_alpha 90.00
_cell_angle_beta 90.00
_cell_angle_gamma 90.00
_symmetry_space_group_name_H-M 'P 4/m m m'
_symmetry_Int_Tables_number 123
_symmetry_space_group_name_Hall '-P 4 2'
loop_
_atom_site_label
_atom_site_fract_x
_atom_site_fract_y
_atom_site_fract_z
Hf1 0.000 0.000 0.000
Ta1 0.000 0.000 0.500
Re1 0.500 0.500 0.000
S1 0.000 0.500 0.500
```

Output
Density of states at the Fermi level = 3.68 states/eV per cell
Raw total energy = -7.43 eV/atom
ρ = 8.6 Mg/m³
Formation energy from raw total energies = 1.071 eV/atom

---

density of states at the Fermi level of number 9 (Hf6Re2S)?
16.44 states/eV per cell